Entry 1:
An optimized crystal structure of HoTmOsRu. Source: Alexandria, functional PBE.

## Properties
The crystal system is cubic. The space group is No. 216. As for the magnetic moment: 0.00 μB per cell. The energy of formation from the pure elements comes out at -0.240 eV per atom.

Cell lengths 4.7719, 4.7719, 4.7719 Å; angles 60.00, 60.00, 60.00 degrees
Positions (direct):
Os  0.2500  0.2500  0.2500
Ho  0.0000  0.0000  0.0000
Tm  0.5000  0.5000  0.5000
Ru  0.7500  0.7500  0.7500

Entry 2:
An optimized crystal structure of HoVOsRu. Source: Alexandria, functional PBE.

## Properties
The crystal system is cubic. The space group is No. 216. As for the magnetic moment: 0.00 μB per cell. The energy of formation from the pure elements comes out at -0.115 eV per atom.

Cell lengths 4.5198, 4.5198, 4.5198 Å; angles 60.00, 60.00, 60.00 degrees
Positions (direct):
Ru  0.2500  0.2500  0.2500
V  0.5000  0.5000  0.5000
Ho  0.0000  0.0000  0.0000
Os  0.7500  0.7500  0.7500

Entry 3:
An optimized crystal structure of YHoOsRu. Source: Alexandria, functional PBE.

## Properties
The crystal system is cubic. The space group is No. 216. As for the magnetic moment: 0.00 μB per cell. The energy of formation from the pure elements comes out at -0.165 eV per atom.

Cell lengths 4.8111, 4.8111, 4.8111 Å; angles 60.00, 60.00, 60.00 degrees
Positions (direct):
Y  0.5000  0.5000  0.5000
Os  0.2500  0.2500  0.2500
Ru  0.7500  0.7500  0.7500
Ho  0.0000  0.0000  0.0000

Entry 4:
An optimized crystal structure of Ho4SbOs. Source: Alexandria, functional PBE.

## Properties
As for the offset from the most stable computed form: 131 meV/atom. The crystal system is monoclinic. The space group is No. 12. As for the uncorrected formation energy: -41.7 kJ/mol of atoms. As for the magnetic moment: 0.00 μB per cell.

Cell lengths 6.8620, 6.8628, 7.3528 Å; angles 90.00, 90.69, 90.00 degrees
Positions (direct):
Sb  0.5000  0.5000  0.0000
Ho  0.2469  0.2495  0.7203
Ho  0.2467  0.7501  0.7203
Ho  0.2533  0.2501  0.2797
Os  0.5000  0.0000  0.5000
Ho  0.7533  0.2499  0.2797
Os  0.0000  0.5000  0.5000
Ho  0.7469  0.2505  0.7203
Sb  0.0000  0.0000  0.0000
Ho  0.7467  0.7499  0.7203
Ho  0.7531  0.7505  0.2797
Ho  0.2531  0.7495  0.2797

Entry 5:
An optimized crystal structure of HoSbOs. Source: Alexandria, functional PBE.

## Properties
The crystal system is orthorhombic. The space group is No. 38. As for the uncorrected formation energy: -28.4 kJ/mol of atoms. As for the magnetic moment: 0.00 μB per cell.

Cell lengths 3.4462, 5.7885, 9.0633 Å; angles 66.96, 90.00, 53.45 degrees
Positions (direct):
Os  0.7016  0.3133  0.9696
Sb  0.3555  0.6596  0.6331
Ho  0.5118  0.0033  0.2972
Os  0.7016  0.3133  0.4696
Sb  0.3555  0.6596  0.1331
Ho  0.5118  0.0033  0.7971

Entry 6:
An optimized crystal structure of Ho12Sb6Os. Source: Alexandria, functional PBE.

## Properties
The crystal system is trigonal. The space group is No. 148. As for the uncorrected formation energy: -59.2 kJ/mol of atoms. As for the magnetic moment: 0.00 μB per cell.

Cell lengths 8.5134, 8.5134, 8.5134 Å; angles 99.68, 99.68, 99.68 degrees
Positions (direct):
Ho  0.6861  0.9408  0.0096
Sb  0.3170  0.1203  0.6457
Ho  0.8024  0.5848  0.4526
Sb  0.6830  0.8797  0.3543
Ho  0.4152  0.5474  0.1976
Ho  0.3139  0.0592  0.9904
Ho  0.9904  0.3139  0.0592
Os  0.0000  0.0000  0.0000
Ho  0.1976  0.4152  0.5474
Sb  0.1203  0.6457  0.3170
Sb  0.3543  0.6830  0.8797
Ho  0.4526  0.8024  0.5848
Ho  0.0096  0.6861  0.9408
Ho  0.5474  0.1976  0.4152
Ho  0.9408  0.0096  0.6861
Ho  0.5848  0.4526  0.8024
Ho  0.0592  0.9904  0.3139
Sb  0.8797  0.3543  0.6830
Sb  0.6457  0.3170  0.1203

Entry 7:
An optimized crystal structure of Ho8Sb2Os. Source: Alexandria, functional PBE.

## Properties
The crystal system is monoclinic. The space group is No. 12. As for the uncorrected formation energy: -41.9 kJ/mol of atoms. As for the magnetic moment: 0.00 μB per cell.

Cell lengths 4.9314, 6.6444, 9.9184 Å; angles 105.16, 104.39, 90.00 degrees
Positions (direct):
Os  0.5000  0.0000  0.0000
Ho  0.7803  0.6740  0.5606
Ho  0.2197  0.3260  0.4394
Ho  0.5893  0.4569  0.1786
Ho  0.6457  0.0071  0.2913
Sb  0.1808  0.7574  0.3616
Sb  0.8192  0.2426  0.6384
Ho  0.9794  0.2109  0.9589
Ho  0.4107  0.5431  0.8214
Ho  0.3543  0.9929  0.7087
Ho  0.0206  0.7891  0.0411

Entry 8:
An optimized crystal structure of Ho4SbOs. Source: Alexandria, functional PBE.

## Properties
As for the offset from the most stable computed form: 0 meV/atom. The crystal system is orthorhombic. The space group is No. 62. As for the uncorrected formation energy: -54.3 kJ/mol of atoms. As for the magnetic moment: 0.01 μB per cell.

Cell lengths 4.1980, 7.9593, 18.8461 Å; angles 90.00, 90.00, 90.00 degrees
Positions (direct):
Os  0.2500  0.2463  0.9443
Sb  0.2500  0.7502  0.3070
Os  0.7500  0.2537  0.4443
Ho  0.7500  0.3708  0.8576
Sb  0.2500  0.2502  0.1930
Ho  0.7500  0.9973  0.9343
Ho  0.7500  0.3581  0.0476
Ho  0.7500  0.4466  0.2880
Os  0.7500  0.7537  0.0557
Ho  0.2500  0.0027  0.0657
Ho  0.2500  0.6292  0.1424
Ho  0.7500  0.4973  0.5657
Os  0.2500  0.7463  0.5557
Ho  0.2500  0.1292  0.3576
Ho  0.2500  0.1419  0.5476
Ho  0.2500  0.6419  0.9524
Ho  0.7500  0.8581  0.4524
Ho  0.7500  0.9466  0.2120
Ho  0.2500  0.5027  0.4343
Ho  0.2500  0.0534  0.7880
Sb  0.7500  0.7498  0.8070
Sb  0.7500  0.2498  0.6930
Ho  0.7500  0.8708  0.6424
Ho  0.2500  0.5534  0.7120

Question: Which of these has the highest magnetic moment?
Answer: number 8

Question: Which formula does entry 1 have?
Answer: HoTmOsRu